# 1
## SrPr4In4 (PBE)

Data for a geometry-optimized SrPr4In4 structure.

Volume ... 574 Å³/cell
DFT formation energy ... -252 meV/atom
Total energy ... -3.78 eV per atom
Size of the total moment ... 0.0 μB per cell

The structure in POSCAR format:
```
SrPr4In4
1.0
6.296 0.000 0.000
0.000 9.546 0.000
0.000 0.000 9.546
Pr In Sr
8 8 2
direct
0.373 0.422 0.841 Pr
0.873 0.659 0.922 Pr
0.373 0.578 0.159 Pr
0.627 0.841 0.578 Pr
0.127 0.922 0.341 Pr
0.627 0.159 0.422 Pr
0.127 0.078 0.659 Pr
0.873 0.341 0.078 Pr
0.892 0.390 0.708 In
0.108 0.292 0.390 In
0.608 0.110 0.792 In
0.392 0.792 0.890 In
0.108 0.708 0.610 In
0.892 0.610 0.292 In
0.392 0.208 0.110 In
0.608 0.890 0.208 In
0.500 0.500 0.500 Sr
0.000 0.000 0.000 Sr
```

# 2
## Sr2PrIn (PBE)

Data for a geometry-optimized Sr2PrIn structure.

Volume ... 172 Å³/cell
DFT formation energy ... 189 meV/atom
Total energy ... -2.53 eV per atom
E above lowest polymorph ... 0.87 eV per formula unit
Size of the total moment ... 0.0 μB per cell

The structure in POSCAR format:
```
Sr2PrIn
1.0
-3.716 -0.852 -0.607
-2.301 -0.838 2.984
-5.159 12.337 1.985
Pr Sr In
1 2 1
direct
0.500 0.500 0.500 Pr
0.914 0.914 0.258 Sr
0.086 0.086 0.742 Sr
0.000 0.000 0.000 In
```

# 3
## SrPr6In5 (PBE)

Data for a geometry-optimized SrPr6In5 structure.

Volume ... 375 Å³/cell
DFT formation energy ... -368 meV/atom
Total energy ... -4.04 eV per atom
Size of the total moment ... 0.0 μB per cell

The structure in POSCAR format:
```
SrPr6In5
1.0
5.359 0.005 -1.649
-0.860 7.287 -2.777
0.075 -0.490 9.774
Pr Sr In
6 1 5
direct
0.500 0.727 0.000 Pr
0.824 0.081 0.647 Pr
0.824 0.566 0.647 Pr
0.176 0.434 0.353 Pr
0.176 0.919 0.353 Pr
0.500 0.273 0.000 Pr
0.000 0.000 0.000 Sr
0.350 0.850 0.700 In
0.667 0.667 0.334 In
0.000 0.500 0.000 In
0.650 0.150 0.300 In
0.333 0.333 0.666 In
```

# 4
## SrPr5In3 (PBE)

Data for a geometry-optimized SrPr5In3 structure.

Volume ... 583 Å³/cell
DFT formation energy ... -344 meV/atom
Total energy ... -4.10 eV per atom
Size of the total moment ... 0.0 μB per cell

The structure in POSCAR format:
```
SrPr5In3
1.0
-6.906 0.341 1.539
-1.891 -6.454 -7.059
1.865 -3.089 9.057
Sr In Pr
2 6 10
direct
0.000 0.000 0.000 Sr
0.500 0.000 0.000 Sr
0.750 0.668 0.000 In
0.250 0.668 0.668 In
0.250 0.332 0.000 In
0.750 0.332 0.332 In
0.250 0.000 0.332 In
0.750 0.000 0.668 In
0.000 0.333 0.667 Pr
0.500 0.667 0.333 Pr
0.500 0.333 0.667 Pr
0.750 0.662 0.662 Pr
0.000 0.667 0.333 Pr
0.250 0.000 0.662 Pr
0.750 0.338 0.000 Pr
0.750 0.000 0.338 Pr
0.250 0.338 0.338 Pr
0.250 0.662 0.000 Pr
```

# 5
## SrPrIn (PBE)

Data for a geometry-optimized SrPrIn structure.

Volume ... 104 Å³/cell
DFT formation energy ... -180 meV/atom
Total energy ... -3.25 eV per atom
E above lowest polymorph ... 0.50 eV per formula unit
Size of the total moment ... 0.0 μB per cell

The structure in POSCAR format:
```
SrPrIn
1.0
-1.380 1.637 -3.270
-5.080 0.147 2.217
3.451 4.284 0.690
Pr Sr In
1 1 1
direct
0.403 0.333 0.667 Pr
0.977 0.000 0.000 Sr
0.620 0.667 0.333 In
```

# 6
## SrPr2In (PBE)

Data for a geometry-optimized SrPr2In structure.

Volume ... 136 Å³/cell
DFT formation energy ... -164 meV/atom
Total energy ... -3.66 eV per atom
E above lowest polymorph ... 0.00 eV per formula unit
Size of the total moment ... 0.0 μB per cell

The structure in POSCAR format:
```
SrPr2In
1.0
-1.521 2.662 4.055
2.099 -3.545 3.115
4.459 2.606 -0.039
Pr In Sr
2 1 1
direct
0.000 0.000 0.500 Pr
0.000 0.500 0.000 Pr
0.500 0.500 0.500 In
0.500 0.000 0.000 Sr
```

# 7
## SrPr2In (PBE)

Data for a geometry-optimized SrPr2In structure.

Volume ... 148 Å³/cell
DFT formation energy ... -142 meV/atom
Total energy ... -3.64 eV per atom
E above lowest polymorph ... 0.09 eV per formula unit
Size of the total moment ... 0.0 μB per cell

The structure in POSCAR format:
```
SrPr2In
1.0
-2.374 2.973 0.132
-2.140 -1.823 2.566
5.536 4.088 7.522
In Sr Pr
1 1 2
direct
0.500 0.500 0.000 In
0.500 0.500 0.500 Sr
0.000 0.000 0.802 Pr
0.000 0.000 0.198 Pr
```

# 8
## Sr3PrIn4 (PBE)

Data for a geometry-optimized Sr3PrIn4 structure.

Volume ... 262 Å³/cell
DFT formation energy ... -437 meV/atom
Total energy ... -3.03 eV per atom
Size of the total moment ... 0.0 μB per cell

The structure in POSCAR format:
```
Sr3PrIn4
1.0
-3.006 2.246 -1.393
-2.047 -0.646 3.377
6.817 13.260 6.669
Sr In Pr
3 4 1
direct
0.500 0.500 0.246 Sr
0.500 0.500 0.500 Sr
0.500 0.500 0.754 Sr
0.000 0.000 0.116 In
0.000 0.000 0.373 In
0.000 0.000 0.884 In
0.000 0.000 0.627 In
0.500 0.500 0.000 Pr
```